1.
4
Lattice="0.0000 3.0972 3.0972 3.0972 0.0000 3.0972 3.0972 3.0972 0.0000" Properties=species:S:1:pos:R:3 comment="Mn2CdH (PBE-GGA, optimized geometry)" e_above_lowest_polymorph_kj_per_mol_atoms=56.3 pbc="T T T"
Mn 1.5486 1.5486 1.5486
Mn 4.6458 4.6458 4.6458
Cd 0.0000 0.0000 0.0000
H 3.0972 3.0972 3.0972


2.
6
Lattice="0.0000 4.2658 4.2658 4.2658 0.0000 4.2658 4.2658 4.2658 0.0000" Properties=species:S:1:pos:R:3 comment="YCd4Br (PBE-GGA, optimized geometry)" formation_energy_uncorrected_ev_per_atom=-0.109 pbc="T T T"
Y 0.0000 0.0000 0.0000
Cd 3.1931 3.1931 3.1931
Cd 5.3385 5.3385 3.1931
Cd 5.3385 3.1931 5.3385
Cd 3.1931 5.3385 5.3385
Br 6.3986 6.3986 6.3986


3.
4
Lattice="1.9747 1.1401 6.9674 -1.9747 1.1401 6.9674 0.0000 -2.2802 6.9674" Properties=species:S:1:pos:R:3 comment="ErScTeP (PBE-GGA, optimized geometry)" formation_energy_uncorrected_ev_per_atom=-1.433 pbc="T T T"
Er 0.0000 0.0000 0.0000
Sc 0.0000 0.0000 16.8269
Te 0.0000 0.0000 4.8433
P 0.0000 0.0000 8.5437


4.
4
Lattice="3.1906 0.0000 0.0000 0.0000 3.1906 0.0000 0.0000 0.0000 6.3650" Properties=species:S:1:pos:R:3 comment="CoWBr2 (PBE-GGA, optimized geometry)" e_above_lowest_polymorph_kj_per_mol_atoms=95.6 formation_energy_uncorrected_ev_per_atom=1.173 pbc="T T T"
Co 0.0000 0.0000 0.0000
W 0.0000 0.0000 3.1825
Br 1.5953 1.5953 1.5666
Br 1.5953 1.5953 4.7985


5.
4
Lattice="2.7245 0.0000 0.0000 0.0000 4.3895 0.0000 -0.8220 0.0000 6.6640" Properties=species:S:1:pos:R:3 comment="KBe2Ag (PBE-GGA, optimized geometry)" e_above_lowest_polymorph_kj_per_mol_atoms=31.2 e_form_ev_per_fu=2.35 pbc="T T T"
K 0.0000 0.0000 0.0000
Be 0.2341 2.1947 4.1691
Be 1.6684 2.1947 2.4949
Ag 0.9512 0.0000 3.3320


6.
6
Lattice="4.2093 0.0000 0.0000 0.0000 4.2093 0.0000 0.0000 0.0000 5.4690" Properties=species:S:1:pos:R:3 comment="PmZn2BRu2 (PBE-GGA, optimized geometry)" e_form_ev_per_fu=-2.25 pbc="T T T"
Pm 0.0000 0.0000 0.0000
Zn 2.1046 2.1046 1.2525
Zn 2.1046 2.1046 4.2165
B 0.0000 0.0000 2.7345
Ru 0.0000 2.1046 2.7345
Ru 2.1046 0.0000 2.7345


7.
4
Lattice="3.3551 -4.8357 0.0000 3.3551 4.8357 0.0000 0.0000 0.0000 3.3203" Properties=species:S:1:pos:R:3 comment="Y3Ta (PBE-GGA, optimized geometry)" e_above_lowest_polymorph_kj_per_mol_atoms=10.1 e_form_ev_per_fu=1.50 pbc="T T T"
Y 0.0000 0.0000 0.0000
Y 1.6776 2.4178 1.6601
Y 1.6776 -2.4178 1.6601
Ta 3.3551 0.0000 0.0000


8.
5
Lattice="5.0113 0.0000 0.0000 0.0000 5.0113 0.0000 0.0000 0.0000 5.6200" Properties=species:S:1:pos:R:3 comment="InIrIBr2 (PBE-GGA, optimized geometry)" formation_energy_uncorrected_ev_per_atom=0.105 pbc="T T T"
In 0.0000 0.0000 0.0000
Ir 0.0000 0.0000 2.8100
I 2.5056 2.5056 0.0000
Br 0.0000 2.5056 2.8100
Br 2.5056 0.0000 2.8100


9.
3
Lattice="0.0000 3.2430 3.2430 3.2430 0.0000 3.2430 3.2430 3.2430 0.0000" Properties=species:S:1:pos:R:3 comment="LiZnPb (PBE-GGA, optimized geometry)" e_form_ev_per_fu=-0.27 pbc="T T T"
Li 0.0000 0.0000 0.0000
Zn 4.8644 4.8644 4.8644
Pb 3.2430 3.2430 3.2430


10.
10
Lattice="5.5188 -2.0839 0.0000 5.5188 2.0839 0.0000 -3.8660 0.0000 9.6551" Properties=species:S:1:pos:R:3 comment="Pr2P2Pt (PBE-GGA, optimized geometry)" e_form_ev_per_fu=-6.27 pbc="T T T"
Pr -0.5272 0.0000 3.8862
Pr -0.0008 0.0000 8.2408
Pr 7.1724 0.0000 1.4142
Pr 7.6988 0.0000 5.7689
P -3.0938 0.0000 8.8045
P 2.3791 0.0000 3.5300
P 4.7925 0.0000 6.1250
P 10.2654 0.0000 0.8505
Pt 4.0451 0.0000 1.7114
Pt 3.1265 0.0000 7.9436


11.
5
Lattice="-2.6033 2.6033 4.2606 2.6033 -2.6033 4.2606 2.6033 2.6033 -4.2606" Properties=species:S:1:pos:R:3 comment="Li2SBr2 (PBE-GGA, optimized geometry)" e_above_lowest_polymorph_kj_per_mol_atoms=0.0 formation_energy_uncorrected_ev_per_atom=-0.805 pbc="T T T"
Li 2.6033 0.0000 2.1303
Li 0.0000 2.6033 2.1303
S 0.0000 0.0000 0.0000
Br 0.0000 0.0000 2.5558
Br 0.0000 0.0000 5.9654


12.
5
Lattice="5.1632 0.0000 0.0000 0.0000 5.1632 0.0000 0.0000 0.0000 5.4296" Properties=species:S:1:pos:R:3 comment="TaAg2SbN (PBE-GGA, optimized geometry)" formation_energy_uncorrected_ev_per_atom=2.018 pbc="T T T"
Ta 0.0000 0.0000 0.0000
Ag 0.0000 2.5816 2.7148
Ag 2.5816 0.0000 2.7148
Sb 0.0000 0.0000 2.7148
N 2.5816 2.5816 0.0000


Computed values of DOS(E_F) (unit: states/eV per cell) for the preceding records, in sequence: 3.58, 4.52, 2.64, 3.36, 1.49, 2.87, 5.12, 6.74, 1.88, 5.35, 0.00, 2.76.
Computed values of energy (unit: eV/atom) for the preceding records, in sequence: -4.770, -2.075, -6.294, -4.678, -2.262, -5.796, -7.437, -3.194, -2.390, -6.539, -3.065, -3.982.